# 1
# SrEuTe2 (GGA-PBE, relaxed)
data_SrEuTe2
_chemical_formula_sum 'Sr1 Eu1 Te2'
_cell_length_a 4.043
_cell_length_b 4.043
_cell_length_c 8.093
_cell_angle_alpha 90.00
_cell_angle_beta 90.00
_cell_angle_gamma 90.00
_space_group_name_H-M_alt 'P 1'
_space_group_IT_number 1
_space_group_name_Hall 'P 1'
loop_
_atom_site_label
_atom_site_type_symbol
_atom_site_fract_x
_atom_site_fract_y
_atom_site_fract_z
Sr1 Sr 0.000 0.000 0.000
Eu1 Eu 0.000 0.000 0.500
Te1 Te 0.500 0.500 0.254
Te2 Te 0.500 0.500 0.746
# Total moment ... 6.998 μB/f.u.
# V ... 132.26 Å³ per cell
# Formation energy without anion corrections ... -1.4695 eV/atom
# Total DFT energy (no corrections) ... -0.443 Ry/atom
# Distance to the lowest polymorph of the same formula ... 0.239 eV/atom
# Symmetry ... P4/mmm (123)

# 2
# PmYZnCo (GGA-PBE, relaxed)
data_PmYZnCo
_chemical_formula_sum 'Pm1 Y1 Zn1 Co1'
_cell_length_a 4.308
_cell_length_b 5.680
_cell_length_c 5.680
_cell_angle_alpha 40.40
_cell_angle_beta 90.00
_cell_angle_gamma 90.00
_space_group_name_H-M_alt 'P 1'
_space_group_IT_number 1
_space_group_name_Hall 'P 1'
loop_
_atom_site_label
_atom_site_type_symbol
_atom_site_fract_x
_atom_site_fract_y
_atom_site_fract_z
Pm1 Pm 0.000 0.000 0.000
Y1 Y 0.500 0.281 0.281
Zn1 Zn 0.500 0.578 0.578
Co1 Co 0.000 0.704 0.704
# Total moment ... 0.000 μB/f.u.
# V ... 90.06 Å³ per cell
# Total DFT energy (no corrections) ... -0.374 Ry/atom
# Formation energy ... -0.19 eV per atom
# Distance to the lowest polymorph of the same formula ... 0.000 eV/atom
# Symmetry ... Amm2 (38)